# 1
8
Lattice="3.215 0.000 0.000 0.000 5.666 0.101 0.000 -1.978 5.155" Properties=species:S:1:pos:R:3 comment="HfMg2SbN4, relaxed, DFT PBE" sg="P2/m, No. 10" dos_at_fermi_per_ev_cell=1.30 rho_g_cm3=7.11 e_form_raw_mev_per_atom=-675 pbc="T T T"
N 0.000 3.740 1.298
N 1.608 2.711 3.967
N 0.000 -0.052 3.958
N 1.608 0.977 1.289
Mg 0.000 1.844 2.628
Mg 1.608 -0.989 2.578
Sb 0.000 0.000 0.000
Hf 1.608 2.833 0.050



# 2
5
Lattice="4.458 0.000 0.000 0.000 4.458 0.000 0.000 0.000 4.518" Properties=species:S:1:pos:R:3 comment="Hf2MgScN, relaxed, DFT PBE" sg="P4/mmm, No. 123" dos_at_fermi_per_ev_cell=2.43 rho_g_cm3=8.14 e_form_raw_mev_per_atom=-719 pbc="T T T"
Mg 2.229 2.229 2.259
Sc 0.000 0.000 2.259
N 0.000 0.000 0.000
Hf 0.000 2.229 0.000
Hf 2.229 0.000 0.000



# 3
12
Lattice="3.194 0.000 0.000 0.000 6.377 0.230 -1.597 -1.836 6.709" Properties=species:S:1:pos:R:3 comment="Hf3MgSc2N6, relaxed, DFT PBE" sg="C2/m, No. 12" dos_at_fermi_per_ev_cell=2.77 rho_g_cm3=8.83 e_form_raw_mev_per_atom=-1762 pbc="T T T"
N 0.000 4.747 0.192
N 1.597 -0.110 2.275
N 0.000 1.407 4.589
N 1.597 -0.207 6.748
N 1.597 3.134 2.350
N 0.000 4.651 4.665
Mg 1.597 0.000 0.000
Hf 1.597 3.188 0.115
Hf 1.597 -0.172 4.531
Hf 0.000 4.712 2.409
Sc 0.000 1.506 2.302
Sc 1.597 3.034 4.637



# 4
5
Lattice="-3.891 0.021 -0.394 -0.094 -3.843 0.721 -0.485 0.920 4.840" Properties=species:S:1:pos:R:3 comment="HfMgSeN2, relaxed, DFT PBE" sg="P4/mmm, No. 123" dos_at_fermi_per_ev_cell=3.33 de_polymorph_mev_per_atom=866 rho_g_cm3=6.79 e_form_raw_mev_per_atom=699 pbc="T T T"
Mg 0.000 0.000 0.000
N -0.047 -1.921 0.360
N -1.946 0.010 -0.197
Hf -2.235 -1.451 2.583
Se -0.243 0.460 2.420



Repeat the second record exactly.
5
Lattice="4.458 0.000 0.000 0.000 4.458 0.000 0.000 0.000 4.518" Properties=species:S:1:pos:R:3 comment="Hf2MgScN, relaxed, DFT PBE" sg="P4/mmm, No. 123" dos_at_fermi_per_ev_cell=2.43 rho_g_cm3=8.14 e_form_raw_mev_per_atom=-719 pbc="T T T"
Mg 2.229 2.229 2.259
Sc 0.000 0.000 2.259
N 0.000 0.000 0.000
Hf 0.000 2.229 0.000
Hf 2.229 0.000 0.000